Record 1
DFT (PBE) results for a relaxed structure of BePt2C.

Unit cell a=4.972 b=4.972 c=5.882 alpha=65.00 beta=65.00 gamma=90.00
Sites, in units of the cell vectors:
Be 0.500 0.500 0.000
Be 0.250 0.750 0.500
C 0.000 0.000 0.000
C 0.750 0.250 0.500
Pt 0.666 0.125 0.250
Pt 0.084 0.625 0.250
Pt 0.375 0.334 0.750
Pt 0.875 0.916 0.750

Output
Fermi-level density of states in states/eV/atom: 0.3230
Raw total energy in eV for the cell shown: -47.21
Calculated density in g/cm³: 11.715

***

Record 2
DFT (PBE) results for a relaxed structure of Cr3CuBr.

Unit cell a=4.322 b=4.322 c=4.322 alpha=90.00 beta=90.00 gamma=90.00
Sites, in units of the cell vectors:
Cr 0.000 0.500 0.000
Cr 0.000 0.000 0.500
Cr 0.500 0.000 0.000
Cu 0.500 0.500 0.500
Br 0.000 0.000 0.000

Output
ΔE_f (raw) in meV/atom: 1583
Fermi-level density of states in states/eV/atom: 1.0062
Calculated density in g/cm³: 6.157

***

Record 3
DFT (PBE) results for a relaxed structure of Rb2NaAgBr5.

Unit cell a=4.579 b=9.736 c=14.591 alpha=90.00 beta=90.00 gamma=103.60
Site moments in Bohr magnetons follow the coordinates.
Sites, in units of the cell vectors:
Rb 0.848 0.695 0.808  0.00
Rb 0.103 0.205 0.691  0.00
Rb 0.152 0.305 0.308  0.00
Rb 0.897 0.795 0.191  0.00
Na 0.804 0.608 0.529  0.00
Na 0.196 0.392 0.029  0.00
Ag 0.521 0.041 0.945  0.18
Ag 0.479 0.959 0.445  0.18
Br 0.384 0.768 0.994  0.11
Br 0.657 0.313 0.889  0.10
Br 0.481 0.962 0.770  0.08
Br 0.276 0.553 0.652  0.01
Br 0.956 0.912 0.547  0.08
Br 0.616 0.232 0.494  0.11
Br 0.343 0.687 0.389  0.10
Br 0.519 0.038 0.270  0.08
Br 0.724 0.447 0.152  0.01
Br 0.044 0.088 0.047  0.08

Output
ΔE_f (raw) in meV/atom: -1170
Fermi-level density of states in states/eV/atom: 0.4800
Calculated density in g/cm³: 3.684

***

Record 4
DFT (PBE) results for a relaxed structure of DyF4.

Unit cell a=7.509 b=7.509 c=7.509 alpha=60.00 beta=60.00 gamma=60.00
Site moments in Bohr magnetons follow the coordinates.
Sites, in units of the cell vectors:
Dy 0.000 0.000 0.000  0.01
Dy 0.750 0.750 0.750  0.01
F 0.087 0.638 0.638  0.22
F 0.638 0.087 0.638  0.22
F 0.638 0.638 0.638  0.22
F 0.112 0.663 0.112  0.22
F 0.663 0.112 0.112  0.22
F 0.638 0.638 0.087  0.22
F 0.112 0.112 0.112  0.22
F 0.112 0.112 0.663  0.22

Output
ΔE_f (raw) in meV/atom: -2665
Fermi-level density of states in states/eV/atom: 3.4424
Calculated density in g/cm³: 2.645

***

> Which value of Fermi-level density of states does entry 1 give?

0.3230 states/eV/atom

***

> Which of these has the lowest calculated density?

DyF4